Run P
VASP calculation (PBE-GGA) on a relaxed EuGaAg4 crystal.

Output
Fermi-level density of states, states/eV/atom: 2.369
Crystal system: orthorhombic
V, Å³ per atom: 21.27

a = 5.8330 Å, b = 9.4828 Å, c = 4.6144 Å
α = 90.00°, β = 90.00°, γ = 90.00°
Space group Cmmm (No. 65)
Symmetry-distinct sites (fractional):
Eu1 0.0000 0.0000 0.0000 (multiplicity 2)
Ga1 0.0000 0.5000 0.5000 (multiplicity 2)
Ag1 0.0000 0.3428 0.0000 (multiplicity 4)
Ag2 0.2500 0.2500 0.5000 (multiplicity 4)

=====

Run Q
VASP calculation (PBE-GGA) on a relaxed EuGaAg4 crystal.

Output
Fermi-level density of states, states/eV/atom: 2.407
Crystal system: cubic
V, Å³ per atom: 21.05

a = 7.9649 Å, b = 7.9649 Å, c = 7.9649 Å
α = 90.00°, β = 90.00°, γ = 90.00°
Space group F-43m (No. 216)
Symmetry-distinct sites (fractional):
Eu1 0.0000 0.0000 0.0000 (multiplicity 4)
Ga1 0.2500 0.2500 0.7500 (multiplicity 4)
Ag1 0.1246 0.1246 0.3754 (multiplicity 16)

=====

Which structure is most stable? run P, by 0.073 eV/atom over the runner-up.

=====

Run P
VASP calculation (PBE-GGA) on a relaxed KEuAg2 crystal.

Output
Fermi-level density of states, states/eV/atom: 2.658
Crystal system: tetragonal
V, Å³ per atom: 29.88

a = 5.6699 Å, b = 5.6699 Å, c = 3.7179 Å
α = 90.00°, β = 90.00°, γ = 90.00°
Space group P4/mmm (No. 123)
Symmetry-distinct sites (fractional):
K1 0.0000 0.0000 0.0000 (multiplicity 1)
Eu1 0.5000 0.5000 0.0000 (multiplicity 1)
Ag1 0.0000 0.5000 0.5000 (multiplicity 2)

=====

Run Q
VASP calculation (PBE-GGA) on a relaxed KEuAg2 crystal.

Output
Fermi-level density of states, states/eV/atom: 2.987
Crystal system: tetragonal
V, Å³ per atom: 31.51

a = 3.9415 Å, b = 3.9415 Å, c = 8.1130 Å
α = 90.00°, β = 90.00°, γ = 90.00°
Space group P4/mmm (No. 123)
Symmetry-distinct sites (fractional):
K1 0.0000 0.0000 0.0000 (multiplicity 1)
Eu1 0.0000 0.0000 0.5000 (multiplicity 1)
Ag1 0.5000 0.5000 0.2998 (multiplicity 2)

=====

Which structure is most stable? run Q, by 0.067 eV/atom over the runner-up.

=====

Run P
VASP calculation (PBE-GGA) on a relaxed LiEu2Ag crystal.

Output
Fermi-level density of states, states/eV/atom: 0.693
Crystal system: trigonal
V, Å³ per atom: 31.28

a = 3.5045 Å, b = 3.5045 Å, c = 35.2926 Å
α = 90.00°, β = 90.00°, γ = 120.00°
Space group R-3m (No. 166, hexagonal axes)
Symmetry-distinct sites (fractional):
Li1 0.0000 0.0000 0.0000 (multiplicity 3)
Eu1 0.0000 0.0000 0.4141 (multiplicity 6)
Ag1 0.0000 0.0000 0.5000 (multiplicity 3)

=====

Run Q
VASP calculation (PBE-GGA) on a relaxed LiEu2Ag crystal.

Output
Fermi-level density of states, states/eV/atom: 3.384
Crystal system: cubic
V, Å³ per atom: 29.03

a = 7.7444 Å, b = 7.7444 Å, c = 7.7444 Å
α = 90.00°, β = 90.00°, γ = 90.00°
Space group Fm-3m (No. 225)
Symmetry-distinct sites (fractional):
Li1 0.0000 0.0000 0.0000 (multiplicity 4)
Eu1 0.2500 0.2500 0.2500 (multiplicity 8)
Ag1 0.0000 0.0000 0.5000 (multiplicity 4)

=====

Which structure is most stable? run Q, by 0.427 eV/atom over the runner-up.

=====

Run P
VASP calculation (PBE-GGA) on a relaxed Eu2LuAg crystal.

Output
Fermi-level density of states, states/eV/atom: 1.029
Crystal system: tetragonal
V, Å³ per atom: 31.53

a = 3.7507 Å, b = 3.7507 Å, c = 8.9664 Å
α = 90.00°, β = 90.00°, γ = 90.00°
Space group P4/mmm (No. 123)
Symmetry-distinct sites (fractional):
Eu1 0.0000 0.0000 0.2137 (multiplicity 2)
Lu1 0.5000 0.5000 0.5000 (multiplicity 1)
Ag1 0.5000 0.5000 0.0000 (multiplicity 1)

=====

Run Q
VASP calculation (PBE-GGA) on a relaxed Eu2LuAg crystal.

Output
Fermi-level density of states, states/eV/atom: 1.114
Crystal system: trigonal
V, Å³ per atom: 31.76

a = 3.5390 Å, b = 3.5390 Å, c = 35.1418 Å
α = 90.00°, β = 90.00°, γ = 120.00°
Space group R-3m (No. 166, hexagonal axes)
Symmetry-distinct sites (fractional):
Eu1 0.0000 0.0000 0.0958 (multiplicity 6)
Lu1 0.0000 0.0000 0.0000 (multiplicity 3)
Ag1 0.0000 0.0000 0.5000 (multiplicity 3)

=====

Which structure is most stable? run P, by 0.267 eV/atom over the runner-up.

=====

Run P
VASP calculation (PBE-GGA) on a relaxed EuLuAg2 crystal.

Output
Fermi-level density of states, states/eV/atom: 2.208
Crystal system: tetragonal
V, Å³ per atom: 25.03

a = 3.6575 Å, b = 3.6575 Å, c = 7.4836 Å
α = 90.00°, β = 90.00°, γ = 90.00°
Space group P4/mmm (No. 123)
Symmetry-distinct sites (fractional):
Eu1 0.0000 0.0000 0.0000 (multiplicity 1)
Lu1 0.0000 0.0000 0.5000 (multiplicity 1)
Ag1 0.5000 0.5000 0.2855 (multiplicity 2)

=====

Run Q
VASP calculation (PBE-GGA) on a relaxed EuLuAg2 crystal.

Output
Fermi-level density of states, states/eV/atom: 2.313
Crystal system: cubic
V, Å³ per atom: 24.82

a = 7.3502 Å, b = 7.3502 Å, c = 7.3502 Å
α = 90.00°, β = 90.00°, γ = 90.00°
Space group Fm-3m (No. 225)
Symmetry-distinct sites (fractional):
Eu1 0.0000 0.0000 0.0000 (multiplicity 4)
Lu1 0.0000 0.0000 0.5000 (multiplicity 4)
Ag1 0.2500 0.2500 0.2500 (multiplicity 8)

=====

Which structure is most stable? run P, by 0.052 eV/atom over the runner-up.

=====

Run P
VASP calculation (PBE-GGA) on a relaxed EuLu2Ag crystal.

Output
Fermi-level density of states, states/eV/atom: 1.100
Crystal system: tetragonal
V, Å³ per atom: 28.67

a = 3.5869 Å, b = 3.5869 Å, c = 8.9125 Å
α = 90.00°, β = 90.00°, γ = 90.00°
Space group P4/mmm (No. 123)
Symmetry-distinct sites (fractional):
Eu1 0.0000 0.0000 0.0000 (multiplicity 1)
Lu1 0.5000 0.5000 0.3050 (multiplicity 2)
Ag1 0.0000 0.0000 0.5000 (multiplicity 1)

=====

Run Q
VASP calculation (PBE-GGA) on a relaxed EuLu2Ag crystal.

Output
Fermi-level density of states, states/eV/atom: 1.112
Crystal system: trigonal
V, Å³ per atom: 29.56

a = 3.4722 Å, b = 3.4722 Å, c = 33.9730 Å
α = 90.00°, β = 90.00°, γ = 120.00°
Space group R-3m (No. 166, hexagonal axes)
Symmetry-distinct sites (fractional):
Eu1 0.0000 0.0000 0.0000 (multiplicity 3)
Lu1 0.0000 0.0000 0.0999 (multiplicity 6)
Ag1 0.0000 0.0000 0.5000 (multiplicity 3)

=====

Which structure is most stable? run P, by 0.253 eV/atom over the runner-up.

=====

Run P
VASP calculation (PBE-GGA) on a relaxed NaEuAg crystal.

Output
Fermi-level density of states, states/eV/atom: 4.386
Crystal system: cubic
V, Å³ per atom: 33.69

a = 7.3942 Å, b = 7.3942 Å, c = 7.3942 Å
α = 90.00°, β = 90.00°, γ = 90.00°
Space group F-43m (No. 216)
Symmetry-distinct sites (fractional):
Na1 0.0000 0.0000 0.0000 (multiplicity 4)
Eu1 0.0000 0.0000 0.5000 (multiplicity 4)
Ag1 0.2500 0.2500 0.2500 (multiplicity 4)

=====

Run Q
VASP calculation (PBE-GGA) on a relaxed NaEuAg crystal.

Output
Fermi-level density of states, states/eV/atom: 3.397
Crystal system: tetragonal
V, Å³ per atom: 30.37

a = 3.7778 Å, b = 3.7778 Å, c = 12.7676 Å
α = 90.00°, β = 90.00°, γ = 90.00°
Space group I4mm (No. 107)
Symmetry-distinct sites (fractional):
Na1 0.0000 0.0000 0.0000 (multiplicity 2)
Eu1 0.0000 0.0000 0.2801 (multiplicity 2)
Ag1 0.0000 0.0000 0.6348 (multiplicity 2)

=====

Which structure is most stable? run Q, by 0.034 eV/atom over the runner-up.

=====

Run P
VASP calculation (PBE-GGA) on a relaxed NaEu2Ag crystal.

Output
Fermi-level density of states, states/eV/atom: 3.819
Crystal system: cubic
V, Å³ per atom: 32.00

a = 7.9997 Å, b = 7.9997 Å, c = 7.9997 Å
α = 90.00°, β = 90.00°, γ = 90.00°
Space group Fm-3m (No. 225)
Symmetry-distinct sites (fractional):
Na1 0.0000 0.0000 0.0000 (multiplicity 4)
Eu1 0.2500 0.2500 0.2500 (multiplicity 8)
Ag1 0.0000 0.0000 0.5000 (multiplicity 4)

=====

Run Q
VASP calculation (PBE-GGA) on a relaxed NaEu2Ag crystal.

Output
Fermi-level density of states, states/eV/atom: 3.598
Crystal system: tetragonal
V, Å³ per atom: 32.12

a = 5.5071 Å, b = 5.5071 Å, c = 4.2367 Å
α = 90.00°, β = 90.00°, γ = 90.00°
Space group P4/mmm (No. 123)
Symmetry-distinct sites (fractional):
Na1 0.0000 0.0000 0.0000 (multiplicity 1)
Eu1 0.0000 0.5000 0.5000 (multiplicity 2)
Ag1 0.5000 0.5000 0.0000 (multiplicity 1)

=====

Run R
VASP calculation (PBE-GGA) on a relaxed NaEu2Ag crystal.

Output
Fermi-level density of states, states/eV/atom: 4.658
Crystal system: tetragonal
V, Å³ per atom: 34.15

a = 3.8488 Å, b = 3.8488 Å, c = 9.2225 Å
α = 90.00°, β = 90.00°, γ = 90.00°
Space group P4/mmm (No. 123)
Symmetry-distinct sites (fractional):
Na1 0.0000 0.0000 0.0000 (multiplicity 1)
Eu1 0.5000 0.5000 0.3006 (multiplicity 2)
Ag1 0.0000 0.0000 0.5000 (multiplicity 1)

=====

Which structure is most stable? run R, by 0.058 eV/atom over the runner-up.

=====

Run P
VASP calculation (PBE-GGA) on a relaxed NaEuAg2 crystal.

Output
Fermi-level density of states, states/eV/atom: 3.063
Crystal system: cubic
V, Å³ per atom: 25.87

a = 7.4525 Å, b = 7.4525 Å, c = 7.4525 Å
α = 90.00°, β = 90.00°, γ = 90.00°
Space group Fm-3m (No. 225)
Symmetry-distinct sites (fractional):
Na1 0.0000 0.0000 0.0000 (multiplicity 4)
Eu1 0.0000 0.0000 0.5000 (multiplicity 4)
Ag1 0.2500 0.2500 0.2500 (multiplicity 8)

=====

Run Q
VASP calculation (PBE-GGA) on a relaxed NaEuAg2 crystal.

Output
Fermi-level density of states, states/eV/atom: 2.529
Crystal system: tetragonal
V, Å³ per atom: 25.93

a = 5.3238 Å, b = 5.3238 Å, c = 3.6600 Å
α = 90.00°, β = 90.00°, γ = 90.00°
Space group P4/mmm (No. 123)
Symmetry-distinct sites (fractional):
Na1 0.0000 0.0000 0.0000 (multiplicity 1)
Eu1 0.5000 0.5000 0.0000 (multiplicity 1)
Ag1 0.0000 0.5000 0.5000 (multiplicity 2)

=====

Which structure is most stable? run P, by 0.018 eV/atom over the runner-up.

=====

Run P
VASP calculation (PBE-GGA) on a relaxed NdEu2Ag crystal.

Output
Fermi-level density of states, states/eV/atom: 2.551
Crystal system: tetragonal
V, Å³ per atom: 33.01

a = 3.7829 Å, b = 3.7829 Å, c = 9.2257 Å
α = 90.00°, β = 90.00°, γ = 90.00°
Space group P4/mmm (No. 123)
Symmetry-distinct sites (fractional):
Nd1 0.0000 0.0000 0.0000 (multiplicity 1)
Eu1 0.5000 0.5000 0.2954 (multiplicity 2)
Ag1 0.0000 0.0000 0.5000 (multiplicity 1)

=====

Run Q
VASP calculation (PBE-GGA) on a relaxed NdEu2Ag crystal.

Output
Fermi-level density of states, states/eV/atom: 1.128
Crystal system: trigonal
V, Å³ per atom: 34.38

a = 3.6689 Å, b = 3.6689 Å, c = 35.3945 Å
α = 90.00°, β = 90.00°, γ = 120.00°
Space group R-3m (No. 166, hexagonal axes)
Symmetry-distinct sites (fractional):
Nd1 0.0000 0.0000 0.0000 (multiplicity 3)
Eu1 0.0000 0.0000 0.0993 (multiplicity 6)
Ag1 0.0000 0.0000 0.5000 (multiplicity 3)

=====

Which structure is most stable? run P, by 0.242 eV/atom over the runner-up.

=====

Run P
VASP calculation (PBE-GGA) on a relaxed Eu2NiAg crystal.

Output
Fermi-level density of states, states/eV/atom: 4.149
Crystal system: tetragonal
V, Å³ per atom: 24.44

a = 3.5800 Å, b = 3.5800 Å, c = 7.6278 Å
α = 90.00°, β = 90.00°, γ = 90.00°
Space group P4/mmm (No. 123)
Symmetry-distinct sites (fractional):
Eu1 0.0000 0.0000 0.2241 (multiplicity 2)
Ni1 0.5000 0.5000 0.0000 (multiplicity 1)
Ag1 0.5000 0.5000 0.5000 (multiplicity 1)

=====

Run Q
VASP calculation (PBE-GGA) on a relaxed Eu2NiAg crystal.

Output
Fermi-level density of states, states/eV/atom: 4.200
Crystal system: cubic
V, Å³ per atom: 24.63

a = 7.3319 Å, b = 7.3319 Å, c = 7.3319 Å
α = 90.00°, β = 90.00°, γ = 90.00°
Space group Fm-3m (No. 225)
Symmetry-distinct sites (fractional):
Eu1 0.2500 0.2500 0.2500 (multiplicity 8)
Ni1 0.0000 0.0000 0.0000 (multiplicity 4)
Ag1 0.0000 0.0000 0.5000 (multiplicity 4)

=====

Which structure is most stable? run P, by 0.037 eV/atom over the runner-up.

=====

Run P
VASP calculation (PBE-GGA) on a relaxed Eu2AgPd crystal.

Output
Fermi-level density of states, states/eV/atom: 4.102
Crystal system: tetragonal
V, Å³ per atom: 25.69

a = 3.6953 Å, b = 3.6953 Å, c = 7.5260 Å
α = 90.00°, β = 90.00°, γ = 90.00°
Space group P4/mmm (No. 123)
Symmetry-distinct sites (fractional):
Eu1 0.0000 0.0000 0.2338 (multiplicity 2)
Ag1 0.5000 0.5000 0.5000 (multiplicity 1)
Pd1 0.5000 0.5000 0.0000 (multiplicity 1)

=====

Run Q
VASP calculation (PBE-GGA) on a relaxed Eu2AgPd crystal.

Output
Fermi-level density of states, states/eV/atom: 4.236
Crystal system: cubic
V, Å³ per atom: 25.66

a = 7.4320 Å, b = 7.4320 Å, c = 7.4320 Å
α = 90.00°, β = 90.00°, γ = 90.00°
Space group Fm-3m (No. 225)
Symmetry-distinct sites (fractional):
Eu1 0.2500 0.2500 0.2500 (multiplicity 8)
Ag1 0.0000 0.0000 0.0000 (multiplicity 4)
Pd1 0.0000 0.0000 0.5000 (multiplicity 4)

=====

Which structure is most stable? run P, by 0.011 eV/atom over the runner-up.